Record 1
ErTiGa2Ni5 | PBE | optimized geometry

Calculated values
E_tot: -5.5066 eV per atom
M_tot: 1.173 Bohr magnetons per cell
DOS(E_F): 7.9 states/eV per cell

Cell lengths 3.7717, 3.7717, 9.0677 Å; angles 90.00, 90.00, 90.00 degrees
Closest atoms and distances in Å follow each position.
Sites, in units of the cell vectors:
Er 0.0000 0.0000 0.0000  12 Ni 2.67-2.73
Ti 0.0000 0.0000 0.5000  8 Ga 2.92, 8 Ni 3.18
Ga 0.5000 0.5000 0.3688  4 Ni 2.33, 1 Ga 2.38
Ga 0.5000 0.5000 0.6312  4 Ni 2.33, 1 Ga 2.38
Ni 0.0000 0.5000 0.2178  2 Ga 2.33
Ni 0.0000 0.5000 0.7822  2 Ga 2.33
Ni 0.5000 0.0000 0.2178  2 Ga 2.33
Ni 0.5000 0.0000 0.7822  2 Ga 2.33
Ni 0.5000 0.5000 0.0000  4 Er 2.67, 8 Ni 2.73

Record 2
ErZnGa3Ni | PBE | optimized geometry

Calculated values
E_tot: -3.5902 eV per atom
M_tot: 0.000 Bohr magnetons per cell
DOS(E_F): 3.9 states/eV per cell

Cell lengths 6.8695, 6.8695, 5.5564 Å; angles 90.00, 90.00, 121.35 degrees
Closest atoms and distances in Å follow each position.
Sites, in units of the cell vectors:
Er 0.2025 0.7975 0.7500  1 Zn 2.79, 2 Ni 2.89, 4 Ga 3.08
Er 0.7975 0.2025 0.2500  1 Zn 2.79, 2 Ni 2.89, 4 Ga 3.08
Zn 0.4357 0.5643 0.7500  5 Ga 2.60-2.70, 1 Er 2.79
Zn 0.5643 0.4357 0.2500  5 Ga 2.60-2.70, 1 Er 2.79
Ga 0.1940 0.1940 0.0000  2 Ni 2.52, 2 Zn 2.60, 3 Ga 2.61-2.78
Ga 0.1940 0.1940 0.5000  2 Ni 2.52, 2 Zn 2.60, 3 Ga 2.61-2.78
Ga 0.3388 0.6612 0.2500  1 Ni 2.41, 1 Zn 2.70
Ga 0.6612 0.3388 0.7500  1 Ni 2.41, 1 Zn 2.70
Ga 0.8060 0.8060 0.0000  2 Ni 2.52, 2 Zn 2.60, 3 Ga 2.61-2.78
Ga 0.8060 0.8060 0.5000  2 Ni 2.52, 2 Zn 2.60, 3 Ga 2.61-2.78
Ni 0.1374 0.8626 0.2500  5 Ga 2.41-2.52
Ni 0.8626 0.1374 0.7500  5 Ga 2.41-2.52

Record 3
Er2Zn12GaNi3 | PBE | optimized geometry

Calculated values
E_tot: -2.5454 eV per atom
M_tot: 0.000 Bohr magnetons per cell
DOS(E_F): 7.5 states/eV per cell

Cell lengths 6.6455, 6.6455, 6.6455 Å; angles 84.39, 84.39, 84.39 degrees
Closest atoms and distances in Å follow each position.
Sites, in units of the cell vectors:
Er 0.2426 0.2426 0.2426  3 Ni 2.75, 6 Zn 2.99-3.08, 1 Ga 3.05
Er 0.7574 0.7574 0.7574  3 Ni 2.75, 6 Zn 2.99-3.08, 1 Ga 3.05
Zn 0.1534 0.5742 0.5742  6 Zn 2.53-2.73
Zn 0.1982 0.1982 0.7095  5 Zn 2.53-2.67, 1 Ni 2.54, 1 Ga 2.56
Zn 0.1982 0.7095 0.1982  5 Zn 2.53-2.67, 1 Ni 2.54, 1 Ga 2.56
Zn 0.2905 0.8018 0.8018  5 Zn 2.53-2.67, 1 Ni 2.54, 1 Ga 2.56
Zn 0.4258 0.4258 0.8466  6 Zn 2.53-2.73
Zn 0.4258 0.8466 0.4258  6 Zn 2.53-2.73
Zn 0.5742 0.1534 0.5742  6 Zn 2.53-2.73
Zn 0.5742 0.5742 0.1534  6 Zn 2.53-2.73
Zn 0.7095 0.1982 0.1982  5 Zn 2.53-2.67, 1 Ni 2.54, 1 Ga 2.56
Zn 0.8018 0.2905 0.8018  5 Zn 2.53-2.67, 1 Ni 2.54, 1 Ga 2.56
Zn 0.8018 0.8018 0.2905  5 Zn 2.53-2.67, 1 Ni 2.54, 1 Ga 2.56
Zn 0.8466 0.4258 0.4258  6 Zn 2.53-2.73
Ga 0.0000 0.0000 0.0000  6 Zn 2.56
Ni 0.0000 0.0000 0.5000  2 Zn 2.54, 2 Er 2.75
Ni 0.0000 0.5000 0.0000  2 Zn 2.54, 2 Er 2.75
Ni 0.5000 0.0000 0.0000  2 Zn 2.54, 2 Er 2.75

Record 4
ErZnGaNi3 | PBE | optimized geometry

Calculated values
E_tot: -4.5938 eV per atom
M_tot: 0.000 Bohr magnetons per cell
DOS(E_F): 7.6 states/eV per cell

Cell lengths 6.5465, 6.5465, 5.6014 Å; angles 90.00, 90.00, 129.56 degrees
Closest atoms and distances in Å follow each position.
Sites, in units of the cell vectors:
Er 0.1872 0.8128 0.7500  1 Zn 2.74, 6 Ni 2.83-2.88, 2 Ga 2.84
Er 0.8128 0.1872 0.2500  1 Zn 2.74, 6 Ni 2.83-2.88, 2 Ga 2.84
Zn 0.4185 0.5815 0.7500  4 Ni 2.34
Zn 0.5815 0.4185 0.2500  4 Ni 2.34
Ga 0.1450 0.8550 0.2500  5 Ni 2.49-2.51
Ga 0.8550 0.1450 0.7500  5 Ni 2.49-2.51
Ni 0.2130 0.2130 0.0000  2 Zn 2.34, 1 Ni 2.38, 2 Ga 2.51
Ni 0.2130 0.2130 0.5000  2 Zn 2.34, 1 Ni 2.38, 2 Ga 2.51
Ni 0.3553 0.6447 0.2500  1 Ga 2.49, 1 Zn 2.68, 4 Ni 2.73
Ni 0.6447 0.3553 0.7500  1 Ga 2.49, 1 Zn 2.68, 4 Ni 2.73
Ni 0.7870 0.7870 0.0000  2 Zn 2.34, 1 Ni 2.38, 2 Ga 2.51
Ni 0.7870 0.7870 0.5000  2 Zn 2.34, 1 Ni 2.38, 2 Ga 2.51

Record 5
ErZnGa2Ni4 | PBE | optimized geometry

Calculated values
E_tot: -4.7798 eV per atom
M_tot: 0.000 Bohr magnetons per cell
DOS(E_F): 4.3 states/eV per cell

Cell lengths 8.3475, 8.3475, 8.3475 Å; angles 28.24, 28.24, 28.24 degrees
Closest atoms and distances in Å follow each position.
Sites, in units of the cell vectors:
Er 0.0000 0.0000 0.0000  8 Ni 2.87-3.11, 6 Ga 3.21
Zn 0.5000 0.5000 0.5000  8 Ni 2.35-2.52
Ga 0.2423 0.2423 0.2423  6 Ni 2.41-2.53
Ga 0.7577 0.7577 0.7577  6 Ni 2.41-2.53
Ni 0.1294 0.1294 0.1294  3 Zn 2.52, 4 Ga 2.53-2.71, 3 Ni 2.77
Ni 0.4021 0.4021 0.4021  1 Zn 2.35, 3 Ga 2.41
Ni 0.5979 0.5979 0.5979  1 Zn 2.35, 3 Ga 2.41
Ni 0.8706 0.8706 0.8706  3 Zn 2.52, 4 Ga 2.53-2.71, 3 Ni 2.77

Record 6
Er2ZnGaNi | PBE | optimized geometry

Calculated values
E_tot: -4.3385 eV per atom
M_tot: 0.000 Bohr magnetons per cell
DOS(E_F): 5.0 states/eV per cell

Cell lengths 7.0714, 4.2558, 7.0786 Å; angles 90.00, 109.77, 90.00 degrees
Closest atoms and distances in Å follow each position.
Sites, in units of the cell vectors:
Er 0.0535 0.2500 0.2093  3 Ni 2.73-2.81
Er 0.3442 0.7500 0.6233  3 Ni 2.82-2.85, 2 Zn 3.05, 2 Ga 3.14
Er 0.6558 0.2500 0.3767  3 Ni 2.82-2.85, 2 Zn 3.05, 2 Ga 3.14
Er 0.9465 0.7500 0.7907  3 Ni 2.73-2.81
Zn 0.3465 0.7500 0.1675  3 Ga 2.64-2.73
Zn 0.6535 0.2500 0.8325  3 Ga 2.64-2.73
Ga 0.3174 0.2500 0.9393  1 Ni 2.45, 3 Zn 2.64-2.73
Ga 0.6826 0.7500 0.0607  1 Ni 2.45, 3 Zn 2.64-2.73
Ni 0.0698 0.2500 0.5996  1 Ga 2.45, 2 Ni 2.56, 1 Er 2.73
Ni 0.9302 0.7500 0.4004  1 Ga 2.45, 2 Ni 2.56, 1 Er 2.73

Record 7
ErZn2GaNi2 | PBE | optimized geometry

Calculated values
E_tot: -3.7232 eV per atom
M_tot: 0.000 Bohr magnetons per cell
DOS(E_F): 3.5 states/eV per cell

Cell lengths 4.3766, 4.3766, 5.4880 Å; angles 90.00, 90.00, 90.00 degrees
Closest atoms and distances in Å follow each position.
Sites, in units of the cell vectors:
Er 0.0000 0.0000 0.0000  2 Ga 2.74
Zn 0.5000 0.5000 0.2411  4 Ni 2.61, 2 Zn 2.65-2.84
Zn 0.5000 0.5000 0.7589  4 Ni 2.61, 2 Zn 2.65-2.84
Ga 0.0000 0.0000 0.5000  4 Ni 2.19
Ni 0.0000 0.5000 0.5000  2 Ga 2.19
Ni 0.5000 0.0000 0.5000  2 Ga 2.19

Record 8
ErZnGaNi | PBE | optimized geometry

Calculated values
E_tot: -4.0419 eV per atom
M_tot: 0.000 Bohr magnetons per cell
DOS(E_F): 2.3 states/eV per cell

Cell lengths 4.5343, 4.5343, 4.5343 Å; angles 60.00, 60.00, 60.00 degrees
Closest atoms and distances in Å follow each position.
Sites, in units of the cell vectors:
Er 0.0000 0.0000 0.0000  4 Ni 2.78, 4 Zn 2.78
Zn 0.2500 0.2500 0.2500  4 Ga 2.78, 4 Er 2.78
Ga 0.5000 0.5000 0.5000  4 Ni 2.78, 4 Zn 2.78
Ni 0.7500 0.7500 0.7500  4 Ga 2.78, 4 Er 2.78

Record 9
Er3Zn2GaNi9 | PBE | optimized geometry

Calculated values
E_tot: -4.8886 eV per atom
M_tot: 0.000 Bohr magnetons per cell
DOS(E_F): 9.8 states/eV per cell

Cell lengths 5.0991, 5.0991, 11.3863 Å; angles 90.00, 90.00, 120.00 degrees
Closest atoms and distances in Å follow each position.
Sites, in units of the cell vectors:
Er 0.0000 0.0000 0.0000  6 Ni 2.55
Er 0.3333 0.6667 0.7672  9 Ni 2.82-3.03, 3 Zn 3.04
Er 0.6667 0.3333 0.2328  9 Ni 2.82-3.03, 3 Zn 3.04
Zn 0.3333 0.6667 0.1678  6 Ni 2.41-2.42
Zn 0.6667 0.3333 0.8322  6 Ni 2.41-2.42
Ga 0.0000 0.0000 0.5000  6 Ni 2.37
Ni 0.0000 0.5000 0.0000  2 Zn 2.41, 2 Er 2.55, 4 Ni 2.55
Ni 0.1702 0.3404 0.3386  1 Ga 2.37, 1 Zn 2.42, 4 Ni 2.50-2.60
Ni 0.1702 0.8298 0.3386  1 Ga 2.37, 1 Zn 2.42, 4 Ni 2.50-2.60
Ni 0.3404 0.1702 0.6614  1 Ga 2.37, 1 Zn 2.42, 4 Ni 2.50-2.60
Ni 0.5000 0.0000 0.0000  2 Zn 2.41, 4 Ni 2.55, 2 Er 2.55
Ni 0.5000 0.5000 0.0000  2 Zn 2.41, 2 Er 2.55, 4 Ni 2.55
Ni 0.6596 0.8298 0.3386  1 Ga 2.37, 1 Zn 2.42, 4 Ni 2.50-2.60
Ni 0.8298 0.1702 0.6614  1 Ga 2.37, 1 Zn 2.42, 4 Ni 2.50-2.60
Ni 0.8298 0.6596 0.6614  1 Ga 2.37, 1 Zn 2.42, 4 Ni 2.50-2.60

Record 10
Er2Zn2GaNi5 | PBE | optimized geometry

Calculated values
E_tot: -4.6858 eV per atom
M_tot: 0.000 Bohr magnetons per cell
DOS(E_F): 11.2 states/eV per cell

Cell lengths 9.2670, 9.2670, 3.4943 Å; angles 90.00, 90.00, 90.00 degrees
Closest atoms and distances in Å follow each position.
Sites, in units of the cell vectors:
Er 0.1767 0.3233 0.0000  3 Zn 2.65-2.81, 2 Ni 2.90
Er 0.3233 0.8233 0.0000  3 Zn 2.65-2.81, 2 Ni 2.90
Er 0.6767 0.1767 0.0000  3 Zn 2.65-2.81, 2 Ni 2.90
Er 0.8233 0.6767 0.0000  3 Zn 2.65-2.81, 2 Ni 2.90
Zn 0.1210 0.6210 0.0000  6 Ni 2.36-2.48
Zn 0.3790 0.1210 0.0000  6 Ni 2.36-2.48
Zn 0.6210 0.8790 0.0000  6 Ni 2.36-2.48
Zn 0.8790 0.3790 0.0000  6 Ni 2.36-2.48
Ga 0.0000 0.0000 0.0000  8 Ni 2.60
Ga 0.5000 0.5000 0.0000  8 Ni 2.60
Ni 0.0000 0.5000 0.5000  4 Zn 2.36
Ni 0.0576 0.7997 0.5000  2 Zn 2.48, 2 Ga 2.60, 2 Ni 2.73
Ni 0.2003 0.0576 0.5000  2 Zn 2.48, 2 Ga 2.60, 2 Ni 2.73
Ni 0.2997 0.5576 0.5000  2 Zn 2.48, 2 Ga 2.60, 2 Ni 2.73
Ni 0.4424 0.2997 0.5000  2 Zn 2.48, 2 Ga 2.60, 2 Ni 2.73
Ni 0.5000 0.0000 0.5000  4 Zn 2.36
Ni 0.5576 0.7003 0.5000  2 Zn 2.48, 2 Ga 2.60, 2 Ni 2.73
Ni 0.7003 0.4424 0.5000  2 Zn 2.48, 2 Ga 2.60, 2 Ni 2.73
Ni 0.7997 0.9424 0.5000  2 Zn 2.48, 2 Ga 2.60, 2 Ni 2.73
Ni 0.9424 0.2003 0.5000  2 Zn 2.48, 2 Ga 2.60, 2 Ni 2.73

Question: Which of these has the highest DOS(E_F)?
Answer: Er2Zn2GaNi5